No. 1
A geometry-optimized BeRe2Tc structure, computed with PBE.

Cell and atoms, written as POSCAR:
```
BeRe2Tc
1.0
-1.5091 2.1051 4.2537
1.5091 -2.1051 4.2537
1.5091 2.1051 -4.2537
Be Re Tc
1 2 1
Direct
0.0000 0.0000 0.0000 Be
0.2430 0.7430 0.5000 Re
0.7570 0.2570 0.5000 Re
0.5000 0.5000 0.0000 Tc
```

## Properties
For the uncorrected energy, the calculation gives -9.7351 eV/atom. As for the space group: No. 71. For the energy of formation from the pure elements, the calculation gives 0.01 eV per atom. The value obtained for the total magnetization is 0.0000 μB per atom.

No. 2
A geometry-optimized Hg7Pb6 structure, computed with PBE.

Cell and atoms, written as POSCAR:
```
Hg7Pb6
1.0
3.0823 1.7796 11.0716
-3.0823 1.7796 11.0716
0.0000 -3.5591 11.0716
Hg Pb
7 6
Direct
0.0000 0.0000 0.0000 Hg
0.0930 0.0930 0.5844 Hg
0.0930 0.5844 0.0930 Hg
0.4156 0.9070 0.9070 Hg
0.5844 0.0930 0.0930 Hg
0.9070 0.4156 0.9070 Hg
0.9070 0.9070 0.4156 Hg
0.1614 0.1614 0.1614 Pb
0.3451 0.3451 0.3451 Pb
0.4509 0.4509 0.4509 Pb
0.5491 0.5491 0.5491 Pb
0.6549 0.6549 0.6549 Pb
0.8386 0.8386 0.8386 Pb
```

## Properties
For the uncorrected energy, the calculation gives -1.8139 eV/atom. As for the space group: No. 166. For the energy of formation from the pure elements, the calculation gives 0.06 eV per atom. The value obtained for the total magnetization is 0.0000 μB per atom.